No. 1
Below is BaSi2Ge after structural relaxation, with properties calculated at the PBE-GGA level.

Computed properties:
crystal system	tetragonal
magnetization	0.00	μB per cell
uncorrected formation energy	0.035	eV/atom

The structure in CIF format:
```
data_BaSi2Ge
_chemical_formula_sum 'Ba2 Si4 Ge2'
_cell_length_a 6.501
_cell_length_b 6.501
_cell_length_c 6.501
_cell_angle_alpha 106.24
_cell_angle_beta 106.24
_cell_angle_gamma 116.14
_symmetry_space_group_name_H-M 'P 1'
_symmetry_Int_Tables_number 1
loop_
_symmetry_equiv_pos_as_xyz
'x,y,z'
loop_
_atom_site_label
_atom_site_fract_x
_atom_site_fract_y
_atom_site_fract_z
Ba1 0.000 0.000 0.000
Ba2 0.750 0.250 0.500
Si1 0.205 0.625 0.080
Si2 0.375 0.455 0.580
Si3 0.545 0.125 0.920
Si4 0.875 0.795 0.420
Ge1 0.250 0.750 0.500
Ge2 0.500 0.500 0.000
```


No. 2
Below is BaSi3Ge after structural relaxation, with properties calculated at the PBE-GGA level.

Computed properties:
crystal system	cubic
magnetization	0.00	μB per cell
uncorrected formation energy	0.436	eV/atom

The structure in CIF format:
```
data_BaSi3Ge
_chemical_formula_sum 'Ba1 Si3 Ge1'
_cell_length_a 5.006
_cell_length_b 5.006
_cell_length_c 5.006
_cell_angle_alpha 90.00
_cell_angle_beta 90.00
_cell_angle_gamma 90.00
_symmetry_space_group_name_H-M 'P 1'
_symmetry_Int_Tables_number 1
loop_
_symmetry_equiv_pos_as_xyz
'x,y,z'
loop_
_atom_site_label
_atom_site_fract_x
_atom_site_fract_y
_atom_site_fract_z
Ba1 0.000 0.000 0.000
Si1 0.000 0.500 0.500
Si2 0.500 0.000 0.500
Si3 0.500 0.500 0.000
Ge1 0.500 0.500 0.500
```


No. 3
Below is Ba2SiGe3 after structural relaxation, with properties calculated at the PBE-GGA level.

Computed properties:
crystal system	orthorhombic
magnetization	0.00	μB per cell
uncorrected formation energy	-0.435	eV/atom

The structure in CIF format:
```
data_Ba2SiGe3
_chemical_formula_sum 'Ba4 Si2 Ge6'
_cell_length_a 9.091
_cell_length_b 8.924
_cell_length_c 6.689
_cell_angle_alpha 69.54
_cell_angle_beta 66.88
_cell_angle_gamma 43.58
_symmetry_space_group_name_H-M 'P 1'
_symmetry_Int_Tables_number 1
loop_
_symmetry_equiv_pos_as_xyz
'x,y,z'
loop_
_atom_site_label
_atom_site_fract_x
_atom_site_fract_y
_atom_site_fract_z
Ba1 0.243 0.757 0.243
Ba2 0.250 0.250 0.250
Ba3 0.750 0.750 0.750
Ba4 0.757 0.243 0.757
Si1 0.335 0.335 0.665
Si2 0.665 0.665 0.335
Ge1 0.173 0.173 0.827
Ge2 0.179 0.648 0.821
Ge3 0.352 0.821 0.648
Ge4 0.648 0.179 0.352
Ge5 0.821 0.352 0.179
Ge6 0.827 0.827 0.173
```


No. 4
Below is BaSiGe3 after structural relaxation, with properties calculated at the PBE-GGA level.

Computed properties:
crystal system	cubic
magnetization	0.00	μB per cell
uncorrected formation energy	0.088	eV/atom

The structure in CIF format:
```
data_BaSiGe3
_chemical_formula_sum 'Ba1 Si1 Ge3'
_cell_length_a 5.018
_cell_length_b 5.018
_cell_length_c 5.018
_cell_angle_alpha 90.00
_cell_angle_beta 90.00
_cell_angle_gamma 90.00
_symmetry_space_group_name_H-M 'P 1'
_symmetry_Int_Tables_number 1
loop_
_symmetry_equiv_pos_as_xyz
'x,y,z'
loop_
_atom_site_label
_atom_site_fract_x
_atom_site_fract_y
_atom_site_fract_z
Ba1 0.000 0.000 0.000
Si1 0.500 0.500 0.500
Ge1 0.000 0.500 0.500
Ge2 0.500 0.000 0.500
Ge3 0.500 0.500 0.000
```


No. 5
Below is BaSiGe3 after structural relaxation, with properties calculated at the PBE-GGA level.

Computed properties:
crystal system	cubic
magnetization	0.00	μB per cell
uncorrected formation energy	1.664	eV/atom

The structure in CIF format:
```
data_BaSiGe3
_chemical_formula_sum 'Ba1 Si1 Ge3'
_cell_length_a 5.724
_cell_length_b 5.724
_cell_length_c 5.724
_cell_angle_alpha 90.00
_cell_angle_beta 90.00
_cell_angle_gamma 90.00
_symmetry_space_group_name_H-M 'P 1'
_symmetry_Int_Tables_number 1
loop_
_symmetry_equiv_pos_as_xyz
'x,y,z'
loop_
_atom_site_label
_atom_site_fract_x
_atom_site_fract_y
_atom_site_fract_z
Ba1 0.000 0.000 0.000
Si1 0.500 0.500 0.500
Ge1 0.000 0.000 0.500
Ge2 0.000 0.500 0.000
Ge3 0.500 0.000 0.000
```


No. 6
Below is Ba4Si5Ge2 after structural relaxation, with properties calculated at the PBE-GGA level.

Computed properties:
crystal system	monoclinic
magnetization	0.00	μB per cell
uncorrected formation energy	-0.234	eV/atom

The structure in CIF format:
```
data_Ba4Si5Ge2
_chemical_formula_sum 'Ba4 Si5 Ge2'
_cell_length_a 7.373
_cell_length_b 4.652
_cell_length_c 9.694
_cell_angle_alpha 90.00
_cell_angle_beta 106.05
_cell_angle_gamma 90.00
_symmetry_space_group_name_H-M 'P 1'
_symmetry_Int_Tables_number 1
loop_
_symmetry_equiv_pos_as_xyz
'x,y,z'
loop_
_atom_site_label
_atom_site_fract_x
_atom_site_fract_y
_atom_site_fract_z
Ba1 0.202 0.000 0.147
Ba2 0.298 0.000 0.655
Ba3 0.702 0.000 0.345
Ba4 0.798 0.000 0.853
Si1 0.172 0.500 0.886
Si2 0.385 0.500 0.391
Si3 0.500 0.500 0.000
Si4 0.615 0.500 0.609
Si5 0.828 0.500 0.114
Ge1 0.051 0.500 0.384
Ge2 0.949 0.500 0.616
```


No. 7
Below is BaSiGe after structural relaxation, with properties calculated at the PBE-GGA level.

Computed properties:
crystal system	trigonal
magnetization	0.00	μB per cell
uncorrected formation energy	-0.373	eV/atom

The structure in CIF format:
```
data_BaSiGe
_chemical_formula_sum 'Ba1 Si1 Ge1'
_cell_length_a 4.365
_cell_length_b 4.365
_cell_length_c 4.972
_cell_angle_alpha 90.00
_cell_angle_beta 90.00
_cell_angle_gamma 120.00
_symmetry_space_group_name_H-M 'P 1'
_symmetry_Int_Tables_number 1
loop_
_symmetry_equiv_pos_as_xyz
'x,y,z'
loop_
_atom_site_label
_atom_site_fract_x
_atom_site_fract_y
_atom_site_fract_z
Ba1 0.000 0.000 0.000
Si1 0.333 0.667 0.499
Ge1 0.667 0.333 0.501
```


No. 8
Below is Ba5SiGe6 after structural relaxation, with properties calculated at the PBE-GGA level.

Computed properties:
crystal system	monoclinic
magnetization	0.00	μB per cell
uncorrected formation energy	-0.415	eV/atom

The structure in CIF format:
```
data_Ba5SiGe6
_chemical_formula_sum 'Ba5 Si1 Ge6'
_cell_length_a 9.994
_cell_length_b 9.994
_cell_length_c 6.167
_cell_angle_alpha 97.37
_cell_angle_beta 97.37
_cell_angle_gamma 133.60
_symmetry_space_group_name_H-M 'P 1'
_symmetry_Int_Tables_number 1
loop_
_symmetry_equiv_pos_as_xyz
'x,y,z'
loop_
_atom_site_label
_atom_site_fract_x
_atom_site_fract_y
_atom_site_fract_z
Ba1 0.000 0.000 0.000
Ba2 0.174 0.826 0.500
Ba3 0.384 0.616 0.000
Ba4 0.616 0.384 0.000
Ba5 0.826 0.174 0.500
Si1 0.500 0.500 0.500
Ge1 0.040 0.622 0.903
Ge2 0.237 0.237 0.592
Ge3 0.378 0.960 0.097
Ge4 0.622 0.040 0.903
Ge5 0.763 0.763 0.408
Ge6 0.960 0.378 0.097
```


No. 9
Below is Ba3SiGe2 after structural relaxation, with properties calculated at the PBE-GGA level.

Computed properties:
crystal system	orthorhombic
magnetization	0.00	μB per cell
uncorrected formation energy	-0.474	eV/atom

The structure in CIF format:
```
data_Ba3SiGe2
_chemical_formula_sum 'Ba12 Si4 Ge8'
_cell_length_a 13.416
_cell_length_b 4.511
_cell_length_c 13.589
_cell_angle_alpha 90.00
_cell_angle_beta 90.00
_cell_angle_gamma 90.00
_symmetry_space_group_name_H-M 'P 1'
_symmetry_Int_Tables_number 1
loop_
_symmetry_equiv_pos_as_xyz
'x,y,z'
loop_
_atom_site_label
_atom_site_fract_x
_atom_site_fract_y
_atom_site_fract_z
Ba1 0.088 0.250 0.117
Ba2 0.106 0.750 0.552
Ba3 0.186 0.250 0.798
Ba4 0.314 0.750 0.298
Ba5 0.394 0.250 0.052
Ba6 0.412 0.750 0.617
Ba7 0.588 0.250 0.383
Ba8 0.606 0.750 0.948
Ba9 0.686 0.250 0.702
Ba10 0.814 0.750 0.202
Ba11 0.894 0.250 0.448
Ba12 0.912 0.750 0.883
Si1 0.150 0.250 0.356
Si2 0.350 0.750 0.856
Si3 0.650 0.250 0.144
Si4 0.850 0.750 0.644
Ge1 0.052 0.750 0.316
Ge2 0.216 0.750 0.984
Ge3 0.284 0.250 0.484
Ge4 0.448 0.250 0.816
Ge5 0.552 0.750 0.184
Ge6 0.716 0.750 0.516
Ge7 0.784 0.250 0.016
Ge8 0.948 0.250 0.684
```


No. 10
Below is Ba3Si4Ge after structural relaxation, with properties calculated at the PBE-GGA level.

Computed properties:
crystal system	orthorhombic
magnetization	0.00	μB per cell
uncorrected formation energy	-0.187	eV/atom

The structure in CIF format:
```
data_Ba3Si4Ge
_chemical_formula_sum 'Ba3 Si4 Ge1'
_cell_length_a 9.299
_cell_length_b 9.299
_cell_length_c 9.299
_cell_angle_alpha 147.81
_cell_angle_beta 143.77
_cell_angle_gamma 49.23
_symmetry_space_group_name_H-M 'P 1'
_symmetry_Int_Tables_number 1
loop_
_symmetry_equiv_pos_as_xyz
'x,y,z'
loop_
_atom_site_label
_atom_site_fract_x
_atom_site_fract_y
_atom_site_fract_z
Ba1 0.000 0.000 0.000
Ba2 0.310 0.810 0.500
Ba3 0.690 0.190 0.500
Si1 0.082 0.385 0.697
Si2 0.313 0.615 0.697
Si3 0.687 0.385 0.303
Si4 0.918 0.615 0.303
Ge1 0.500 0.500 0.000
```


No. 11
Below is Ba2Si2Ge after structural relaxation, with properties calculated at the PBE-GGA level.

Computed properties:
crystal system	monoclinic
magnetization	0.00	μB per cell
uncorrected formation energy	-0.374	eV/atom

The structure in CIF format:
```
data_Ba2Si2Ge
_chemical_formula_sum 'Ba4 Si4 Ge2'
_cell_length_a 6.632
_cell_length_b 6.632
_cell_length_c 10.866
_cell_angle_alpha 112.09
_cell_angle_beta 112.09
_cell_angle_gamma 42.44
_symmetry_space_group_name_H-M 'P 1'
_symmetry_Int_Tables_number 1
loop_
_symmetry_equiv_pos_as_xyz
'x,y,z'
loop_
_atom_site_label
_atom_site_fract_x
_atom_site_fract_y
_atom_site_fract_z
Ba1 0.114 0.114 0.413
Ba2 0.280 0.280 0.849
Ba3 0.720 0.720 0.151
Ba4 0.886 0.886 0.587
Si1 0.033 0.033 0.912
Si2 0.409 0.409 0.389
Si3 0.591 0.591 0.611
Si4 0.967 0.967 0.088
Ge1 0.451 0.451 0.183
Ge2 0.549 0.549 0.817
```